(1)
DFT (PBE) results for a relaxed Cs3Fe2Se4 crystal.

Values from the calculation:
Its calculated total energy is -4.4467 eV per atom. The calculation puts the total magnetization at 17.8 Bohr magnetons per cell.

Unit cell a=9.4919 b=9.4919 c=7.5633 alpha=95.66 beta=95.66 gamma=69.89
With the nearest neighbours (Å) after each atom.
Element x y z (fractional)
Cs1 0.0782 0.9218 0.7500  4 Se 3.49-3.71
Cs2 0.2407 0.5174 0.4550  5 Se 3.52-3.89, 1 Fe 3.78
Cs3 0.4826 0.7593 0.0450  5 Se 3.52-3.89, 1 Fe 3.78
Cs4 0.5174 0.2407 0.9550  5 Se 3.52-3.89, 1 Fe 3.78
Cs5 0.7593 0.4826 0.5450  5 Se 3.52-3.89, 1 Fe 3.78
Cs6 0.9218 0.0782 0.2500  4 Se 3.49-3.71
Fe1 0.0953 0.3513 0.9581  4 Se 2.45-2.50
Fe2 0.3513 0.0953 0.4581  4 Se 2.45-2.50
Fe3 0.6487 0.9047 0.5419  4 Se 2.45-2.50
Fe4 0.9047 0.6487 0.0419  4 Se 2.45-2.50
Se1 0.1431 0.2428 0.6453  2 Fe 2.48-2.50
Se2 0.1717 0.5750 0.9889  2 Fe 2.45
Se3 0.2428 0.1431 0.1453  2 Fe 2.48-2.50
Se4 0.4250 0.8283 0.5111  2 Fe 2.45
Se5 0.5750 0.1717 0.4889  2 Fe 2.45
Se6 0.7572 0.8569 0.8547  2 Fe 2.48-2.50
Se7 0.8283 0.4250 0.0111  2 Fe 2.45
Se8 0.8569 0.7572 0.3547  2 Fe 2.48-2.50

(2)
DFT (PBE) results for a relaxed CsFeSe2 crystal.

Values from the calculation:
Its calculated total energy is -4.6320 eV per atom. The calculation puts the total magnetization at 7.8 Bohr magnetons per cell.

Unit cell a=7.0013 b=7.0013 c=7.0013 alpha=113.62 beta=113.62 gamma=101.45
With the nearest neighbours (Å) after each atom.
Element x y z (fractional)
Cs1 0.0000 0.0000 0.0000  8 Se 3.69-3.94
Cs2 0.7500 0.2500 0.5000  8 Se 3.69-3.94
Fe1 0.2500 0.7500 0.5000  4 Se 2.38
Fe2 0.5000 0.5000 0.0000  4 Se 2.38
Se1 0.2610 0.6250 0.1360  2 Fe 2.38
Se2 0.3750 0.5110 0.6360  2 Fe 2.38
Se3 0.4890 0.1250 0.8640  2 Fe 2.38
Se4 0.8750 0.7390 0.3640  2 Fe 2.38

(3)
DFT (PBE) results for a relaxed CsFeSe2 crystal.

Values from the calculation:
Its calculated total energy is -4.6840 eV per atom. The calculation puts the total magnetization at 6.5 Bohr magnetons per cell.

Unit cell a=9.2539 b=9.2539 c=9.2539 alpha=154.38 beta=132.40 gamma=54.83
With the nearest neighbours (Å) after each atom.
Element x y z (fractional)
Cs1 0.1517 0.1517 0.0000  8 Se 3.72-3.74, 2 Cs 4.10
Cs2 0.8483 0.8483 0.0000  8 Se 3.72-3.74, 2 Cs 4.10
Fe1 0.4189 0.4189 0.0000  4 Se 2.31-2.42
Fe2 0.5811 0.5811 0.0000  4 Se 2.31-2.42
Se1 0.2471 0.5000 0.7471  2 Fe 2.31
Se2 0.3407 0.8407 0.5000  2 Fe 2.42
Se3 0.6593 0.1593 0.5000  2 Fe 2.42
Se4 0.7529 0.5000 0.2529  2 Fe 2.31

(4)
DFT (PBE) results for a relaxed CsFeSe2 crystal.

Values from the calculation:
Its calculated total energy is -4.2477 eV per atom. The calculation puts the total magnetization at 1.1 Bohr magnetons per cell.

Unit cell a=9.4295 b=9.4295 c=9.4295 alpha=22.81 beta=22.81 gamma=22.81
With the nearest neighbours (Å) after each atom.
Element x y z (fractional)
Cs1 0.0000 0.0000 0.0000  2 Se 3.38, 6 Cs 3.73
Fe1 0.5000 0.5000 0.5000  6 Se 2.47
Se1 0.1229 0.1229 0.1229  3 Fe 2.47
Se2 0.8771 0.8771 0.8771  3 Fe 2.47

(5)
DFT (PBE) results for a relaxed Cs2FeSe crystal.

Values from the calculation:
Its calculated total energy is -3.0611 eV per atom. The calculation puts the total magnetization at 4.0 Bohr magnetons per cell.

Unit cell a=6.1497 b=6.1497 c=6.1497 alpha=60.00 beta=60.00 gamma=60.00
With the nearest neighbours (Å) after each atom.
Element x y z (fractional)
Cs1 0.2500 0.2500 0.2500  4 Fe 3.77, 4 Se 3.77
Cs2 0.7500 0.7500 0.7500  4 Fe 3.77, 4 Se 3.77
Fe1 0.0000 0.0000 0.0000  8 Cs 3.77
Se1 0.5000 0.5000 0.5000  8 Cs 3.77

(6)
DFT (PBE) results for a relaxed CsFeSe2 crystal.

Values from the calculation:
Its calculated total energy is -4.1511 eV per atom. The calculation puts the total magnetization at 4.2 Bohr magnetons per cell.

Unit cell a=5.4862 b=5.4862 c=5.4862 alpha=74.45 beta=74.45 gamma=74.45
With the nearest neighbours (Å) after each atom.
Element x y z (fractional)
Cs1 0.0000 0.0000 0.0000  8 Se 3.63-3.84
Fe1 0.5000 0.5000 0.5000  2 Se 2.25
Se1 0.3085 0.3085 0.3085  1 Fe 2.25
Se2 0.6915 0.6915 0.6915  1 Fe 2.25

(7)
DFT (PBE) results for a relaxed Cs2FeSiSe4 crystal.

Values from the calculation:
Its calculated total energy is -4.4835 eV per atom. The calculation puts the total magnetization at 8.0 Bohr magnetons per cell.

Unit cell a=14.7283 b=13.2833 c=7.7425 alpha=84.57 beta=63.88 gamma=31.56
With the nearest neighbours (Å) after each atom.
Element x y z (fractional)
Cs1 0.0535 0.0535 0.6965  8 Se 3.82-3.99
Cs2 0.3035 0.3035 0.9465  8 Se 3.82-3.99
Cs3 0.6965 0.6965 0.0535  8 Se 3.82-3.99
Cs4 0.9465 0.9465 0.3035  8 Se 3.82-3.99
Fe1 0.1250 0.1250 0.1250  4 Se 2.45
Fe2 0.8750 0.8750 0.8750  4 Se 2.45
Si1 0.3750 0.3750 0.3750  4 Se 2.31
Si2 0.6250 0.6250 0.6250  4 Se 2.31
Se1 0.0034 0.6484 0.5675  1 Si 2.31, 1 Fe 2.45
Se2 0.2807 0.5675 0.6484  1 Si 2.31, 1 Fe 2.45
Se3 0.3516 0.9966 0.7193  1 Si 2.31, 1 Fe 2.45
Se4 0.4325 0.7193 0.9966  1 Si 2.31, 1 Fe 2.45
Se5 0.5675 0.2807 0.0034  1 Si 2.31, 1 Fe 2.45
Se6 0.6484 0.0034 0.2807  1 Si 2.31, 1 Fe 2.45
Se7 0.7193 0.4325 0.3516  1 Si 2.31, 1 Fe 2.45
Se8 0.9966 0.3516 0.4325  1 Si 2.31, 1 Fe 2.45

(8)
DFT (PBE) results for a relaxed Cs3Th3FeSe8 crystal.

Values from the calculation:
Its calculated total energy is -5.4267 eV per atom. The calculation puts the total magnetization at 3.2 Bohr magnetons per cell.

Unit cell a=9.8898 b=9.8898 c=9.8898 alpha=50.80 beta=50.80 gamma=50.80
With the nearest neighbours (Å) after each atom.
Element x y z (fractional)
Cs1 0.0000 0.5000 0.5000  6 Se 3.58-3.67
Cs2 0.5000 0.0000 0.5000  6 Se 3.58-3.67
Cs3 0.5000 0.5000 0.0000  6 Se 3.58-3.67
Th1 0.0000 0.0000 0.5000  6 Se 2.92-2.97
Th2 0.0000 0.5000 0.0000  6 Se 2.92-2.97
Th3 0.5000 0.0000 0.0000  6 Se 2.92-2.97
Fe1 0.5000 0.5000 0.5000  6 Se 2.83
Se1 0.2321 0.2321 0.2321  3 Th 2.97
Se2 0.2356 0.7213 0.7213  1 Fe 2.83, 2 Th 2.92
Se3 0.2787 0.2787 0.7644  1 Fe 2.83, 2 Th 2.92
Se4 0.2787 0.7644 0.2787  1 Fe 2.83, 2 Th 2.92
Se5 0.7213 0.2356 0.7213  1 Fe 2.83, 2 Th 2.92
Se6 0.7213 0.7213 0.2356  1 Fe 2.83, 2 Th 2.92
Se7 0.7644 0.2787 0.2787  1 Fe 2.83, 2 Th 2.92
Se8 0.7679 0.7679 0.7679  3 Th 2.97

(9)
DFT (PBE) results for a relaxed CsTiFeSe3 crystal.

Values from the calculation:
Its calculated total energy is -5.5507 eV per atom. The calculation puts the total magnetization at 5.7 Bohr magnetons per cell.

Unit cell a=9.3602 b=3.7550 c=10.0677 alpha=90.00 beta=117.12 gamma=90.00
With the nearest neighbours (Å) after each atom.
Element x y z (fractional)
Cs1 0.0186 0.2500 0.2551  7 Se 3.55-3.71, 2 Cs 3.75
Cs2 0.9814 0.7500 0.7449  7 Se 3.55-3.71, 2 Cs 3.75
Ti1 0.4761 0.2500 0.1596  6 Se 2.59-2.63
Ti2 0.5239 0.7500 0.8404  6 Se 2.59-2.63
Fe1 0.4761 0.7500 0.4036  4 Se 2.41-2.50, 2 Fe 2.59
Fe2 0.5239 0.2500 0.5964  4 Se 2.41-2.50, 2 Fe 2.59
Se1 0.2770 0.7500 0.1460  1 Fe 2.41, 2 Ti 2.60
Se2 0.3330 0.7500 0.5568  3 Fe 2.46-2.50, 1 Ti 2.59
Se3 0.3416 0.2500 0.8661  3 Ti 2.63
Se4 0.6584 0.7500 0.1339  3 Ti 2.63
Se5 0.6670 0.2500 0.4432  3 Fe 2.46-2.50, 1 Ti 2.59
Se6 0.7230 0.2500 0.8540  1 Fe 2.41, 2 Ti 2.60

(10)
DFT (PBE) results for a relaxed Cs2UFeSe4 crystal.

Values from the calculation:
Its calculated total energy is -5.2129 eV per atom. The calculation puts the total magnetization at 2.0 Bohr magnetons per cell.

Unit cell a=7.5116 b=7.5116 c=7.5116 alpha=116.66 beta=116.66 gamma=95.90
With the nearest neighbours (Å) after each atom.
Element x y z (fractional)
Cs1 0.0000 0.0000 0.0000  4 Se 3.64
Cs2 0.7500 0.2500 0.5000  4 Se 3.75
U1 0.5000 0.5000 0.0000  4 Se 2.71
Fe1 0.2500 0.7500 0.5000  4 Se 2.45
Se1 0.2319 0.1018 0.5942  1 Fe 2.45, 1 U 2.71
Se2 0.3623 0.7681 0.8699  1 Fe 2.45, 1 U 2.71
Se3 0.5076 0.6377 0.4058  1 Fe 2.45, 1 U 2.71
Se4 0.8982 0.4924 0.1301  1 Fe 2.45, 1 U 2.71

(11)
DFT (PBE) results for a relaxed CsUFeSe4 crystal.

Values from the calculation:
Its calculated total energy is -5.8097 eV per atom. The calculation puts the total magnetization at 10.5 Bohr magnetons per cell.

Unit cell a=6.5974 b=6.5913 c=10.0129 alpha=90.00 beta=108.97 gamma=90.00
With the nearest neighbours (Å) after each atom.
Element x y z (fractional)
Cs1 0.2431 0.2500 0.0506  8 Se 3.57-3.89
Cs2 0.7569 0.7500 0.9494  8 Se 3.57-3.89
U1 0.2405 0.2500 0.5493  6 Se 2.81-2.93
U2 0.7595 0.7500 0.4507  6 Se 2.81-2.93
Fe1 0.2338 0.7500 0.3461  4 Se 2.34-2.36
Fe2 0.7662 0.2500 0.6539  4 Se 2.34-2.36
Se1 0.0226 0.5121 0.6919  1 Fe 2.36
Se2 0.0226 0.9879 0.6919  1 Fe 2.36
Se3 0.4314 0.7500 0.1888  1 Fe 2.35
Se4 0.4432 0.7500 0.5844  1 Fe 2.34
Se5 0.5568 0.2500 0.4156  1 Fe 2.34
Se6 0.5686 0.2500 0.8112  1 Fe 2.35
Se7 0.9774 0.0121 0.3081  1 Fe 2.36
Se8 0.9774 0.4879 0.3081  1 Fe 2.36

(12)
DFT (PBE) results for a relaxed Cs3U3FeSe8 crystal.

Values from the calculation:
Its calculated total energy is -5.8937 eV per atom. The calculation puts the total magnetization at 10.4 Bohr magnetons per cell.

Unit cell a=9.8080 b=9.8080 c=9.8080 alpha=49.89 beta=49.89 gamma=49.89
With the nearest neighbours (Å) after each atom.
Element x y z (fractional)
Cs1 0.0000 0.5000 0.5000  6 Se 3.58-3.64
Cs2 0.5000 0.0000 0.5000  6 Se 3.58-3.64
Cs3 0.5000 0.5000 0.0000  6 Se 3.58-3.64
U1 0.0000 0.0000 0.5000  6 Se 2.85-2.88
U2 0.0000 0.5000 0.0000  6 Se 2.85-2.88
U3 0.5000 0.0000 0.0000  6 Se 2.85-2.88
Fe1 0.5000 0.5000 0.5000  6 Se 2.77
Se1 0.2296 0.2296 0.2296  3 U 2.88
Se2 0.2349 0.7207 0.7206  1 Fe 2.77, 2 U 2.85
Se3 0.2793 0.2793 0.7651  1 Fe 2.77, 2 U 2.85
Se4 0.2793 0.7651 0.2793  1 Fe 2.77, 2 U 2.85
Se5 0.7207 0.2349 0.7207  1 Fe 2.77, 2 U 2.85
Se6 0.7207 0.7207 0.2349  1 Fe 2.77, 2 U 2.85
Se7 0.7651 0.2793 0.2793  1 Fe 2.77, 2 U 2.85
Se8 0.7704 0.7704 0.7704  3 U 2.88